The following is a DFT calculation (meta-GGA SCAN) of a PBEsol-optimized structure of SrAsS2N.

Symmetry: P4/mmm (123)
Crystal system: tetragonal
DFT total energy (Ha/atom): -0.5350

Cell and atoms, written as CIF:
```
data_SrAsS2N
_symmetry_space_group_name_H-M 'P 1'
_symmetry_Int_Tables_number 1
_cell_length_a 4.9207
_cell_length_b 4.9207
_cell_length_c 3.7793
_cell_angle_alpha 90.00
_cell_angle_beta 90.00
_cell_angle_gamma 90.00
loop_
_symmetry_equiv_pos_as_xyz
'x,y,z'
loop_
_atom_site_label
_atom_site_fract_x
_atom_site_fract_y
_atom_site_fract_z
Sr1 0.0000 0.0000 0.0000
As1 0.5000 0.5000 0.5000
S1 0.0000 0.5000 0.5000
S2 0.5000 0.0000 0.5000
N1 0.5000 0.5000 0.0000
```



The following is a DFT calculation (meta-GGA SCAN) of a PBEsol-optimized structure of TeAsSN2.

Excess energy over the best structure of this formula in the dataset (meV per atom): 0.0
Symmetry: P4/mmm (123)
Crystal system: tetragonal
DFT total energy (Ha/atom): -0.5826

Cell and atoms, written as CIF:
```
data_TeAsSN2
_symmetry_space_group_name_H-M 'P 1'
_symmetry_Int_Tables_number 1
_cell_length_a 3.8439
_cell_length_b 3.8439
_cell_length_c 4.7546
_cell_angle_alpha 90.00
_cell_angle_beta 90.00
_cell_angle_gamma 90.00
loop_
_symmetry_equiv_pos_as_xyz
'x,y,z'
loop_
_atom_site_label
_atom_site_fract_x
_atom_site_fract_y
_atom_site_fract_z
Te1 0.0000 0.0000 0.0000
As1 0.5000 0.5000 0.5000
S1 0.5000 0.5000 0.0000
N1 0.0000 0.5000 0.5000
N2 0.5000 0.0000 0.5000
```



The following is a DFT calculation (meta-GGA SCAN) of a PBEsol-optimized structure of TeAsSN2.

Excess energy over the best structure of this formula in the dataset (meV per atom): 405.1
Symmetry: P4/mmm (123)
Crystal system: tetragonal
DFT total energy (Ha/atom): -0.5678

Cell and atoms, written as CIF:
```
data_TeAsSN2
_symmetry_space_group_name_H-M 'P 1'
_symmetry_Int_Tables_number 1
_cell_length_a 3.6552
_cell_length_b 3.6552
_cell_length_c 6.4068
_cell_angle_alpha 90.00
_cell_angle_beta 90.00
_cell_angle_gamma 90.00
loop_
_symmetry_equiv_pos_as_xyz
'x,y,z'
loop_
_atom_site_label
_atom_site_fract_x
_atom_site_fract_y
_atom_site_fract_z
Te1 0.0000 0.0000 0.0000
As1 0.5000 0.5000 0.0000
S1 0.0000 0.0000 0.5000
N1 0.0000 0.5000 0.5000
N2 0.5000 0.0000 0.5000
```



The following is a DFT calculation (meta-GGA SCAN) of a PBEsol-optimized structure of TlAsS2N.

Symmetry: P4/mmm (123)
Crystal system: tetragonal
DFT total energy (Ha/atom): -0.8355

Cell and atoms, written as CIF:
```
data_TlAsS2N
_symmetry_space_group_name_H-M 'P 1'
_symmetry_Int_Tables_number 1
_cell_length_a 5.1183
_cell_length_b 5.1183
_cell_length_c 4.0814
_cell_angle_alpha 90.00
_cell_angle_beta 90.00
_cell_angle_gamma 90.00
loop_
_symmetry_equiv_pos_as_xyz
'x,y,z'
loop_
_atom_site_label
_atom_site_fract_x
_atom_site_fract_y
_atom_site_fract_z
Tl1 0.0000 0.0000 0.0000
As1 0.5000 0.5000 0.5000
S1 0.0000 0.5000 0.0000
S2 0.5000 0.0000 0.0000
N1 0.0000 0.0000 0.5000
```



Per-record total magnetization, μB/cell: 0.8, 0.3, 1.0, 1.4
Per-record energy relative to the elements, uncorrected, eV/atom: -0.36, 1.28, 1.68, 1.48